(1)
Compound: CaTb3C
Source: Alexandria via LeMat-Bulk
Functional: GGA-PBE
Structure: relaxed

```
data_CaTb3C
_chemical_formula_sum 'Ca1 Tb3 C1'
_symmetry_space_group_name_H-M 'P 1'
_symmetry_Int_Tables_number 1
_cell_length_a 5.135
_cell_length_b 5.135
_cell_length_c 5.135
_cell_angle_alpha 90.00
_cell_angle_beta 90.00
_cell_angle_gamma 90.00
loop_
_symmetry_equiv_pos_as_xyz
'x,y,z'
loop_
_atom_site_label
_atom_site_fract_x
_atom_site_fract_y
_atom_site_fract_z
Ca1 0.500 0.500 0.500
Tb1 0.000 0.000 0.500
Tb2 0.500 0.000 0.000
Tb3 0.000 0.500 0.000
C1 0.000 0.000 0.000
```

Results
The total energy is -25.09 eV per cell. For the formation energy, the calculation gives 0.03 eV per formula unit.



(2)
Compound: YHo2Sb
Source: Alexandria via LeMat-Bulk
Functional: GGA-PBE
Structure: relaxed

```
data_YHo2Sb
_chemical_formula_sum 'Y1 Ho2 Sb1'
_symmetry_space_group_name_H-M 'P 1'
_symmetry_Int_Tables_number 1
_cell_length_a 3.954
_cell_length_b 3.954
_cell_length_c 9.958
_cell_angle_alpha 78.55
_cell_angle_beta 78.55
_cell_angle_gamma 60.00
loop_
_symmetry_equiv_pos_as_xyz
'x,y,z'
loop_
_atom_site_label
_atom_site_fract_x
_atom_site_fract_y
_atom_site_fract_z
Y1 0.500 0.500 0.500
Sb1 0.000 0.000 0.000
Ho1 0.266 0.266 0.201
Ho2 0.734 0.734 0.799
```

Results
The total energy is -20.90 eV per cell. Its formation energy without anion corrections is -0.291 eV/atom. Its offset from the most stable computed form is 273 meV/atom.



(3)
Compound: Rb2BaAg2Cl6
Source: Alexandria via LeMat-Bulk
Functional: GGA-PBE
Structure: relaxed

```
data_Rb2BaAg2Cl6
_chemical_formula_sum 'Rb2 Ba1 Ag2 Cl6'
_symmetry_space_group_name_H-M 'P 1'
_symmetry_Int_Tables_number 1
_cell_length_a 7.972
_cell_length_b 7.980
_cell_length_c 8.034
_cell_angle_alpha 113.99
_cell_angle_beta 90.00
_cell_angle_gamma 119.97
loop_
_symmetry_equiv_pos_as_xyz
'x,y,z'
loop_
_atom_site_label
_atom_site_fract_x
_atom_site_fract_y
_atom_site_fract_z
Cl1 0.682 0.858 0.173
Cl2 0.318 0.142 0.827
Cl3 0.742 0.484 0.595
Cl4 0.176 0.858 0.173
Cl5 0.258 0.516 0.405
Cl6 0.824 0.142 0.827
Rb1 0.733 0.465 0.178
Rb2 0.267 0.535 0.822
Ag1 0.056 0.111 0.212
Ag2 0.944 0.889 0.788
Ba1 0.500 0.000 0.500
```

Results
The total energy is -37.48 eV per cell. Its formation energy without anion corrections is -1.531 eV/atom.



(4)
Compound: SiHgSb2
Source: Alexandria via LeMat-Bulk
Functional: GGA-PBE
Structure: relaxed

```
data_SiHgSb2
_chemical_formula_sum 'Si1 Hg1 Sb2'
_symmetry_space_group_name_H-M 'P 1'
_symmetry_Int_Tables_number 1
_cell_length_a 3.759
_cell_length_b 3.759
_cell_length_c 7.420
_cell_angle_alpha 90.00
_cell_angle_beta 90.00
_cell_angle_gamma 90.00
loop_
_symmetry_equiv_pos_as_xyz
'x,y,z'
loop_
_atom_site_label
_atom_site_fract_x
_atom_site_fract_y
_atom_site_fract_z
Sb1 0.500 0.500 0.287
Sb2 0.000 0.000 0.038
Hg1 0.500 0.500 0.742
Si1 0.000 0.000 0.433
```

Results
The total energy is -12.49 eV per cell. Its formation energy without anion corrections is 0.370 eV/atom.



(5)
Compound: TcOsAu
Source: Alexandria via LeMat-Bulk
Functional: GGA-PBE
Structure: relaxed

```
data_TcOsAu
_chemical_formula_sum 'Tc1 Os1 Au1'
_symmetry_space_group_name_H-M 'P 1'
_symmetry_Int_Tables_number 1
_cell_length_a 2.780
_cell_length_b 2.780
_cell_length_c 7.041
_cell_angle_alpha 90.00
_cell_angle_beta 90.00
_cell_angle_gamma 120.00
loop_
_symmetry_equiv_pos_as_xyz
'x,y,z'
loop_
_atom_site_label
_atom_site_fract_x
_atom_site_fract_y
_atom_site_fract_z
Tc1 0.333 0.667 0.957
Au1 0.667 0.333 0.311
Os1 0.000 0.000 0.669
```

Results
The total energy is -24.30 eV per cell. Its offset from the most stable computed form is 0 meV/atom. For the formation energy, the calculation gives 0.57 eV per formula unit.



(6)
Compound: NdDy6Y2Sc
Source: Alexandria via LeMat-Bulk
Functional: GGA-PBE
Structure: relaxed

```
data_NdDy6Y2Sc
_chemical_formula_sum 'Nd2 Dy12 Y4 Sc2'
_symmetry_space_group_name_H-M 'P 1'
_symmetry_Int_Tables_number 1
_cell_length_a 8.733
_cell_length_b 9.065
_cell_length_c 9.065
_cell_angle_alpha 117.83
_cell_angle_beta 90.70
_cell_angle_gamma 90.70
loop_
_symmetry_equiv_pos_as_xyz
'x,y,z'
loop_
_atom_site_label
_atom_site_fract_x
_atom_site_fract_y
_atom_site_fract_z
Sc1 0.750 0.561 0.439
Sc2 0.250 0.439 0.561
Dy1 0.054 0.130 0.788
Dy2 0.592 0.473 0.732
Dy3 0.908 0.268 0.527
Dy4 0.795 0.459 0.040
Dy5 0.554 0.788 0.130
Dy6 0.946 0.870 0.212
Dy7 0.408 0.527 0.268
Dy8 0.205 0.541 0.960
Dy9 0.092 0.732 0.473
Dy10 0.295 0.040 0.459
Dy11 0.705 0.960 0.541
Dy12 0.446 0.212 0.870
Nd1 0.750 0.036 0.964
Nd2 0.250 0.964 0.036
Y1 0.940 0.679 0.789
Y2 0.060 0.321 0.211
Y3 0.440 0.789 0.679
Y4 0.560 0.211 0.321
```

Results
The total energy is -100.72 eV per cell. For the formation energy, the calculation gives 1.28 eV per formula unit.



(7)
Compound: Ta2Mo5W5
Source: Alexandria via LeMat-Bulk
Functional: GGA-PBE
Structure: relaxed

```
data_Ta2Mo5W5
_chemical_formula_sum 'Ta2 Mo5 W5'
_symmetry_space_group_name_H-M 'P 1'
_symmetry_Int_Tables_number 1
_cell_length_a 3.197
_cell_length_b 6.953
_cell_length_c 9.456
_cell_angle_alpha 74.33
_cell_angle_beta 80.27
_cell_angle_gamma 76.71
loop_
_symmetry_equiv_pos_as_xyz
'x,y,z'
loop_
_atom_site_label
_atom_site_fract_x
_atom_site_fract_y
_atom_site_fract_z
W1 0.333 0.332 0.003
W2 0.585 0.079 0.750
W3 0.415 0.921 0.250
W4 0.667 0.668 0.997
W5 0.500 0.500 0.500
Mo1 0.000 0.000 0.000
Mo2 0.833 0.834 0.500
Mo3 0.248 0.754 0.750
Mo4 0.752 0.246 0.250
Mo5 0.167 0.166 0.500
Ta1 0.084 0.582 0.250
Ta2 0.916 0.418 0.750
```

Results
The total energy is -143.59 eV per cell. For the formation energy, the calculation gives -0.96 eV per formula unit.



(8)
Compound: Pm2ThTlC
Source: Alexandria via LeMat-Bulk
Functional: GGA-PBE
Structure: relaxed

```
data_Pm2ThTlC
_chemical_formula_sum 'Pm2 Th1 Tl1 C1'
_symmetry_space_group_name_H-M 'P 1'
_symmetry_Int_Tables_number 1
_cell_length_a 5.046
_cell_length_b 5.120
_cell_length_c 5.120
_cell_angle_alpha 90.00
_cell_angle_beta 90.00
_cell_angle_gamma 90.00
loop_
_symmetry_equiv_pos_as_xyz
'x,y,z'
loop_
_atom_site_label
_atom_site_fract_x
_atom_site_fract_y
_atom_site_fract_z
Pm1 0.000 0.500 0.000
Pm2 0.000 0.000 0.500
C1 0.000 0.000 0.000
Tl1 0.500 0.500 0.500
Th1 0.500 0.000 0.000
```

Results
The total energy is -30.03 eV per cell. For the formation energy, the calculation gives -1.51 eV per formula unit.



(9)
Compound: Rb2GaW
Source: Alexandria via LeMat-Bulk
Functional: GGA-PBE
Structure: relaxed

```
data_Rb2GaW
_chemical_formula_sum 'Rb4 Ga2 W2'
_symmetry_space_group_name_H-M 'P 1'
_symmetry_Int_Tables_number 1
_cell_length_a 13.558
_cell_length_b 13.558
_cell_length_c 9.913
_cell_angle_alpha 46.85
_cell_angle_beta 46.85
_cell_angle_gamma 90.00
loop_
_symmetry_equiv_pos_as_xyz
'x,y,z'
loop_
_atom_site_label
_atom_site_fract_x
_atom_site_fract_y
_atom_site_fract_z
Rb1 0.875 0.077 0.750
Rb2 0.827 0.125 0.250
Rb3 0.375 0.173 0.750
Rb4 0.923 0.625 0.250
W1 0.750 0.250 0.500
W2 0.000 0.000 0.000
Ga1 0.500 0.500 0.000
Ga2 0.250 0.750 0.500
```

Results
The total energy is -25.84 eV per cell. For the formation energy, the calculation gives 5.00 eV per formula unit.



(10)
Compound: LiMg3Tl
Source: Alexandria via LeMat-Bulk
Functional: GGA-PBE
Structure: relaxed

```
data_LiMg3Tl
_chemical_formula_sum 'Li2 Mg6 Tl2'
_symmetry_space_group_name_H-M 'P 1'
_symmetry_Int_Tables_number 1
_cell_length_a 4.526
_cell_length_b 4.521
_cell_length_c 10.983
_cell_angle_alpha 90.00
_cell_angle_beta 78.11
_cell_angle_gamma 90.00
loop_
_symmetry_equiv_pos_as_xyz
'x,y,z'
loop_
_atom_site_label
_atom_site_fract_x
_atom_site_fract_y
_atom_site_fract_z
Mg1 0.574 0.250 0.500
Mg2 0.771 0.250 0.105
Mg3 0.375 0.250 0.898
Mg4 0.074 0.750 0.500
Mg5 0.877 0.750 0.895
Mg6 0.273 0.750 0.102
Li1 0.474 0.750 0.700
Li2 0.174 0.250 0.300
Tl1 0.672 0.750 0.304
Tl2 0.976 0.250 0.696
```

Results
The total energy is -19.04 eV per cell. Its offset from the most stable computed form is 0 meV/atom. For the formation energy, the calculation gives -0.45 eV per formula unit.



no.,Fermi-level density of states (states/eV/f.u.)
1,6.65
2,4.86
3,0.00
4,1.53
5,1.44
6,14.32
7,5.65
8,3.23
9,2.55
10,1.50